FeOs2Rh: optimized geometry, PBE.

## Properties
Offset from the most stable computed form = 96 meV/atom
Energy of formation = 0.70 eV per formula unit
Total energy = -9.3944 eV per atom

Cell: 5.341 7.603 2.683 Å, 90.00 90.00 90.00°
Space group Cmmm (No. 65)
Unique sites:
Fe (0.000, 0.000, 0.000)
Os (0.250, 0.250, 0.500)
Rh (0.000, 0.500, 0.000)

TcPbSe2: optimized geometry, PBE.

## Properties
Offset from the most stable computed form = 700 meV/atom
Total energy = -4.7207 eV per atom

Cell: 4.064 4.064 11.674 Å, 90.00 90.00 90.00°
Space group I-4m2 (No. 119)
Unique sites:
Tc (0.000, 0.000, 0.000)
Pb (0.000, 0.500, 0.750)
Se (0.000, 0.000, 0.500)
Se (0.000, 0.500, 0.250)

Mg2NiPt: optimized geometry, PBE.

## Properties
Energy of formation = -1.83 eV per formula unit
Total energy = -4.2108 eV per atom

Cell: 9.723 2.919 4.580 Å, 90.00 106.90 90.00°
Space group Cm (No. 8)
Unique sites:
Mg (0.000, 0.000, 0.000)
Mg (0.210, 0.000, 0.634)
Ni (0.466, 0.000, 0.488)
Pt (0.249, 0.500, 0.155)

Hf4CoTc: optimized geometry, PBE.

## Properties
Offset from the most stable computed form = 200 meV/atom
Energy of formation = -0.38 eV per formula unit
Total energy = -9.6110 eV per atom

Cell: 6.297 6.308 6.270 Å, 90.00 92.85 90.00°
Space group C2/m (No. 12)
Unique sites:
Hf (0.248, 0.250, 0.243)
Co (0.000, 0.000, 0.000)
Tc (0.000, 0.500, 0.500)

> total energy of number 4 (Hf4CoTc)?

-9.6110 eV per atom

> Which formula does entry 3 have?

Mg2NiPt